[1]
The following is a DFT calculation (PBE) of crystalline Be15Al2Ni2 at its relaxed geometry.

POSCAR file:
```
Be15Al2Ni2
1.0
-3.329 2.814 -3.532
-2.261 -4.479 -2.510
-4.656 -0.244 3.120
Be Ni Al
15 2 2
direct
0.000 0.500 0.000 Be
0.294 0.000 0.706 Be
0.706 0.294 0.000 Be
0.841 0.344 0.344 Be
0.706 0.000 0.294 Be
0.656 0.159 0.656 Be
0.294 0.706 0.000 Be
0.000 0.000 0.500 Be
0.159 0.656 0.656 Be
0.656 0.656 0.159 Be
0.000 0.294 0.706 Be
0.344 0.344 0.841 Be
0.344 0.841 0.344 Be
0.500 0.000 0.000 Be
0.000 0.706 0.294 Be
0.893 0.893 0.893 Ni
0.107 0.107 0.107 Ni
0.661 0.661 0.661 Al
0.339 0.339 0.339 Al
```

Properties
- Space group: R-3m
- Spin magnetization: 0.00 μB per cell
- Energy: -4.00 eV per atom

[2]
The following is a DFT calculation (PBE) of crystalline TbBeCd at its relaxed geometry.

POSCAR file:
```
TbBeCd
1.0
4.343 0.000 0.000
0.000 4.343 0.000
0.000 0.000 6.652
Be Tb Cd
2 2 2
direct
0.000 0.000 0.500 Be
0.500 0.500 0.500 Be
0.000 0.500 0.186 Tb
0.500 0.000 0.814 Tb
0.500 0.000 0.300 Cd
0.000 0.500 0.700 Cd
```

Properties
- Space group: P4/nmm
- Spin magnetization: 0.00 μB per cell
- Energy: -3.12 eV per atom

[3]
The following is a DFT calculation (PBE) of crystalline LaRh at its relaxed geometry.

POSCAR file:
```
LaRh
1.0
-4.358 -6.199 0.257
0.408 0.085 8.956
-9.413 6.632 0.366
Rh La
16 16
direct
0.449 0.750 0.750 Rh
0.301 0.500 0.500 Rh
0.551 0.250 0.750 Rh
0.199 0.500 0.000 Rh
0.449 0.250 0.250 Rh
0.949 0.750 0.250 Rh
0.699 0.000 0.000 Rh
0.051 0.750 0.750 Rh
0.801 0.500 0.000 Rh
0.301 0.000 0.000 Rh
0.699 0.500 0.500 Rh
0.199 0.000 0.500 Rh
0.051 0.250 0.250 Rh
0.949 0.250 0.750 Rh
0.551 0.750 0.250 Rh
0.801 0.000 0.500 Rh
0.000 0.779 0.000 La
0.500 0.279 0.000 La
0.250 0.971 0.250 La
0.500 0.779 0.500 La
0.750 0.971 0.750 La
0.250 0.029 0.750 La
0.000 0.721 0.500 La
0.250 0.529 0.250 La
0.500 0.221 0.500 La
0.500 0.721 0.000 La
0.750 0.529 0.750 La
0.000 0.221 0.000 La
0.750 0.471 0.250 La
0.000 0.279 0.500 La
0.250 0.471 0.750 La
0.750 0.029 0.250 La
```

Properties
- Space group: Fddd
- Spin magnetization: 0.00 μB per cell
- Energy: -6.79 eV per atom

[4]
The following is a DFT calculation (PBE) of crystalline NaMg14Mn at its relaxed geometry.

POSCAR file:
```
NaMg14Mn
1.0
3.574 4.940 -1.791
-4.847 -1.888 -3.651
-6.337 6.429 5.089
Mg Mn Na
14 1 1
direct
0.335 0.169 0.000 Mg
0.835 0.672 0.500 Mg
0.166 0.834 0.246 Mg
0.670 0.330 0.738 Mg
0.160 0.329 0.255 Mg
0.670 0.330 0.262 Mg
0.335 0.665 0.000 Mg
0.833 0.167 0.000 Mg
0.671 0.840 0.745 Mg
0.671 0.840 0.255 Mg
0.160 0.329 0.745 Mg
0.831 0.665 0.000 Mg
0.328 0.165 0.500 Mg
0.166 0.834 0.754 Mg
0.836 0.164 0.500 Mn
0.332 0.668 0.500 Na
```

Properties
- Space group: Amm2
- Spin magnetization: 4.02 μB per cell
- ΔE to the lowest computed polymorph: 0.0101 eV/atom
- Energy: -1.97 eV per atom

[5]
The following is a DFT calculation (PBE) of crystalline Rb2ZrTlI6 at its relaxed geometry.

POSCAR file:
```
Rb2ZrTlI6
1.0
-0.232 8.273 1.416
-5.571 4.799 -4.056
-13.105 1.913 11.572
I Rb Zr Tl
12 4 2 2
direct
0.369 0.863 0.398 I
0.369 0.369 0.398 I
0.803 0.292 0.101 I
0.197 0.197 0.899 I
0.292 0.803 0.101 I
0.863 0.369 0.398 I
0.631 0.631 0.602 I
0.631 0.137 0.602 I
0.708 0.197 0.899 I
0.197 0.708 0.899 I
0.137 0.631 0.602 I
0.803 0.803 0.101 I
0.142 0.142 0.573 Rb
0.858 0.858 0.427 Rb
0.311 0.311 0.068 Rb
0.689 0.689 0.932 Rb
0.000 0.000 0.000 Zr
0.500 0.500 0.500 Zr
0.417 0.417 0.748 Tl
0.583 0.583 0.252 Tl
```

Properties
- Space group: R-3m
- Spin magnetization: 2.00 μB per cell
- ΔE to the lowest computed polymorph: 0.0000 eV/atom
- Energy: -3.25 eV per atom

[6]
The following is a DFT calculation (PBE) of crystalline CdFe2W at its relaxed geometry.

POSCAR file:
```
CdFe2W
1.0
4.554 0.060 -0.167
3.703 2.651 -0.167
0.754 0.248 5.096
W Fe Cd
1 2 1
direct
0.250 0.250 0.250 W
0.999 0.999 0.042 Fe
0.501 0.501 0.458 Fe
0.750 0.750 0.750 Cd
```

Properties
- Space group: C2/m
- Spin magnetization: 4.12 μB per cell
- Energy: -7.22 eV per atom

[7]
The following is a DFT calculation (PBE) of crystalline HfNb2Os at its relaxed geometry.

POSCAR file:
```
HfNb2Os
1.0
-1.001 -3.647 -2.658
-1.858 -3.792 1.882
-4.408 -1.088 -0.867
Nb Os Hf
2 1 1
direct
0.250 0.250 0.250 Nb
0.750 0.750 0.750 Nb
0.500 0.500 0.500 Os
0.000 0.000 0.000 Hf
```

Properties
- Space group: Fm-3m
- Spin magnetization: 0.00 μB per cell
- ΔE to the lowest computed polymorph: 0.0986 eV/atom
- Energy: -10.48 eV per atom

[8]
The following is a DFT calculation (PBE) of crystalline ZrZn10Ni2 at its relaxed geometry.

POSCAR file:
```
ZrZn10Ni2
1.0
-5.413 3.470 1.782
-2.204 -6.154 1.338
3.048 0.648 7.998
Zn Ni Zr
20 4 2
direct
0.474 0.216 0.250 Zn
0.145 0.855 0.903 Zn
0.145 0.855 0.597 Zn
0.225 0.225 0.000 Zn
0.373 0.627 0.044 Zn
0.775 0.775 0.500 Zn
0.784 0.526 0.250 Zn
0.225 0.225 0.500 Zn
0.142 0.406 0.250 Zn
0.627 0.373 0.956 Zn
0.855 0.145 0.097 Zn
0.406 0.142 0.750 Zn
0.855 0.145 0.403 Zn
0.373 0.627 0.456 Zn
0.627 0.373 0.544 Zn
0.526 0.784 0.750 Zn
0.594 0.858 0.250 Zn
0.858 0.594 0.750 Zn
0.216 0.474 0.750 Zn
0.775 0.775 0.000 Zn
0.000 0.500 0.000 Ni
0.500 0.000 0.500 Ni
0.000 0.500 0.500 Ni
0.500 0.000 0.000 Ni
0.133 0.867 0.250 Zr
0.867 0.133 0.750 Zr
```

Properties
- Space group: Cmcm
- Spin magnetization: 0.00 μB per cell
- Energy: -2.73 eV per atom